# GGA-PBEsol SiWBr2, relaxed
data_SiWBr2
_chemical_formula_sum 'Si1 W1 Br2'
_symmetry_space_group_name_H-M 'P 1'
_symmetry_Int_Tables_number 1
_cell_length_a 4.5931
_cell_length_b 4.5931
_cell_length_c 4.5931
_cell_angle_alpha 60.00
_cell_angle_beta 60.00
_cell_angle_gamma 60.00
loop_
_symmetry_equiv_pos_as_xyz
'x,y,z'
loop_
_atom_site_label
_atom_site_fract_x
_atom_site_fract_y
_atom_site_fract_z
Si1 0.5000 0.5000 0.5000
Br1 0.7500 0.7500 0.7500
Br2 0.2500 0.2500 0.2500
W1 0.0000 0.0000 0.0000
# **E**: -18.977 eV per cell
# **Symmetry**: Fm-3m, No. 225
# **Excess energy over the best structure of this formula in the dataset**: 986.5 meV per atom